# 1
Tb6Ho2Tl | Alexandria | PBE | optimized geometry; E above lowest polymorph = 0.23 eV/f.u.; N(E_F) = 14.1 states/eV/f.u.; ΔH_f (0 K) = -0.0391 eV/atom
1.0
10.638 0.000 0.000
0.000 10.638 0.000
0.000 0.000 4.886
Tb Ho Tl
12 4 2
Direct
0.000 0.336 0.000 Tb
0.000 0.664 0.000 Tb
0.161 0.161 0.500 Tb
0.164 0.500 0.500 Tb
0.336 0.000 0.000 Tb
0.339 0.661 0.000 Tb
0.500 0.164 0.500 Tb
0.500 0.836 0.500 Tb
0.661 0.339 0.000 Tb
0.664 0.000 0.000 Tb
0.836 0.500 0.500 Tb
0.839 0.839 0.500 Tb
0.162 0.838 0.500 Ho
0.338 0.338 0.000 Ho
0.662 0.662 0.000 Ho
0.838 0.162 0.500 Ho
0.000 0.000 0.000 Tl
0.500 0.500 0.500 Tl


# 2
Tb4HoTl5 | Alexandria | PBE | optimized geometry; N(E_F) = 8.3 states/eV/f.u.; ΔH_f (0 K) = -0.3487 eV/atom
1.0
3.766 0.000 0.000
0.000 3.766 0.000
0.000 0.000 19.385
Tb Ho Tl
4 1 5
Direct
0.000 0.000 0.100 Tb
0.000 0.000 0.301 Tb
0.000 0.000 0.699 Tb
0.000 0.000 0.900 Tb
0.000 0.000 0.500 Ho
0.500 0.500 0.000 Tl
0.500 0.500 0.201 Tl
0.500 0.500 0.402 Tl
0.500 0.500 0.598 Tl
0.500 0.500 0.799 Tl


# 3
Tb4Ho3Tl | Alexandria | PBE | optimized geometry; E above lowest polymorph = 0.66 eV/f.u.; N(E_F) = 15.0 states/eV/f.u.; ΔH_f (0 K) = 0.0168 eV/atom
1.0
4.102 0.000 0.000
0.000 4.102 0.000
0.000 0.000 14.560
Tb Ho Tl
4 3 1
Direct
0.000 0.000 0.114 Tb
0.000 0.000 0.371 Tb
0.000 0.000 0.629 Tb
0.000 0.000 0.886 Tb
0.500 0.500 0.248 Ho
0.500 0.500 0.500 Ho
0.500 0.500 0.752 Ho
0.500 0.500 0.000 Tl


# 4
Tb5Ho3Tl2 | Alexandria | PBE | optimized geometry; N(E_F) = 12.5 states/eV/f.u.; ΔH_f (0 K) = 0.1542 eV/atom
1.0
-6.435 7.699 3.214
6.435 -7.699 3.214
6.435 7.699 -3.214
Tb Ho Tl
10 6 4
Direct
0.165 0.117 0.283 Tb
0.250 0.001 0.751 Tb
0.250 0.250 0.000 Tb
0.250 0.499 0.249 Tb
0.335 0.617 0.952 Tb
0.665 0.383 0.048 Tb
0.750 0.501 0.751 Tb
0.750 0.750 0.000 Tb
0.750 0.999 0.249 Tb
0.835 0.883 0.717 Tb
0.226 0.383 0.609 Ho
0.250 0.750 0.500 Ho
0.274 0.883 0.157 Ho
0.726 0.117 0.843 Ho
0.750 0.250 0.500 Ho
0.774 0.617 0.391 Ho
0.144 0.629 0.773 Tl
0.356 0.129 0.485 Tl
0.644 0.871 0.515 Tl
0.856 0.371 0.227 Tl